No. 1
# CaTaRh2 PBE optimized geometry
# size of the total moment = 0.00 μB per formula unit
# energy relative to the elements = -0.1496 eV per atom
# N(E_F) = 2.49 states/eV/f.u.
# DFT total energy = -58.31 eV/cell
data_CaTaRh2
_chemical_formula_sum 'Ca2 Ta2 Rh4'
_symmetry_space_group_name_H-M 'I m m 2'
_symmetry_Int_Tables_number 44
_symmetry_space_group_name_Hall 'I 2 -2'
_cell_length_a 3.131
_cell_length_b 4.543
_cell_length_c 10.276
_cell_angle_alpha 90.00
_cell_angle_beta 90.00
_cell_angle_gamma 90.00
loop_
_atom_site_label
_atom_site_type_symbol
_atom_site_fract_x
_atom_site_fract_y
_atom_site_fract_z
Ca1 Ca 0.000 0.000 0.000
Ta1 Ta 0.000 0.500 0.223
Rh1 Rh 0.000 0.000 0.523
Rh2 Rh 0.000 0.500 0.771

---

No. 2
# TiP2PbCl PBE optimized geometry
# distance to the lowest polymorph of the same formula = 1.231 eV/atom
# size of the total moment = 0.16 μB per formula unit
# formation energy from raw total energies = 23.7 kcal/mol of atoms
# N(E_F) = 7.48 states/eV/f.u.
# DFT total energy = -19.14 eV/cell
data_TiP2PbCl
_chemical_formula_sum 'Ti1 P2 Pb1 Cl1'
_symmetry_space_group_name_H-M 'P 4/m m m'
_symmetry_Int_Tables_number 123
_symmetry_space_group_name_Hall '-P 4 2'
_cell_length_a 5.150
_cell_length_b 5.150
_cell_length_c 5.167
_cell_angle_alpha 90.00
_cell_angle_beta 90.00
_cell_angle_gamma 90.00
loop_
_atom_site_label
_atom_site_type_symbol
_atom_site_fract_x
_atom_site_fract_y
_atom_site_fract_z
Ti1 Ti 0.000 0.000 0.000
P1 P 0.000 0.500 0.500
Pb1 Pb 0.500 0.500 0.500
Cl1 Cl 0.500 0.500 0.000

---

No. 3
# CePu2Ge2Pt PBE optimized geometry
# size of the total moment = 9.79 μB per formula unit
# energy relative to the elements = 0.1388 eV per atom
# N(E_F) = 16.50 states/eV/f.u.
# DFT total energy = -98.08 eV/cell
data_CePu2Ge2Pt
_chemical_formula_sum 'Ce2 Pu4 Ge4 Pt2'
_symmetry_space_group_name_H-M 'I 4/m m m'
_symmetry_Int_Tables_number 139
_symmetry_space_group_name_Hall '-I 4 2'
_cell_length_a 4.195
_cell_length_b 4.195
_cell_length_c 19.845
_cell_angle_alpha 90.00
_cell_angle_beta 90.00
_cell_angle_gamma 90.00
loop_
_atom_site_label
_atom_site_type_symbol
_atom_site_fract_x
_atom_site_fract_y
_atom_site_fract_z
Ce1 Ce 0.000 0.000 0.000
Pu1 Pu 0.000 0.500 0.250
Ge1 Ge 0.000 0.000 0.149
Pt1 Pt 0.000 0.000 0.500

---

The lowest DFT total energy belongs to which entry? CePu2Ge2Pt

---

Number 2 is which compound? TiP2PbCl

---

Please write out number 3 again, unchanged.
# CePu2Ge2Pt PBE optimized geometry
# size of the total moment = 9.79 μB per formula unit
# energy relative to the elements = 0.1388 eV per atom
# N(E_F) = 16.50 states/eV/f.u.
# DFT total energy = -98.08 eV/cell
data_CePu2Ge2Pt
_chemical_formula_sum 'Ce2 Pu4 Ge4 Pt2'
_symmetry_space_group_name_H-M 'I 4/m m m'
_symmetry_Int_Tables_number 139
_symmetry_space_group_name_Hall '-I 4 2'
_cell_length_a 4.195
_cell_length_b 4.195
_cell_length_c 19.845
_cell_angle_alpha 90.00
_cell_angle_beta 90.00
_cell_angle_gamma 90.00
loop_
_atom_site_label
_atom_site_type_symbol
_atom_site_fract_x
_atom_site_fract_y
_atom_site_fract_z
Ce1 Ce 0.000 0.000 0.000
Pu1 Pu 0.000 0.500 0.250
Ge1 Ge 0.000 0.000 0.149
Pt1 Pt 0.000 0.000 0.500